Here is crystalline NpTiCrO6 at its relaxed geometry from the Alexandria database. Energies are from GGA+U.

Lattice parameters (Å, degrees): 4.792 4.792 9.410 90.00 90.00 90.00
Sites, in units of the cell vectors:
Np 0.000 0.000 0.000
Np 0.500 0.500 0.500
Ti 0.000 0.000 0.664
Ti 0.500 0.500 0.164
Cr 0.000 0.000 0.334
Cr 0.500 0.500 0.834
O 0.183 0.183 0.503
O 0.196 0.196 0.823
O 0.201 0.201 0.172
O 0.299 0.701 0.672
O 0.304 0.696 0.323
O 0.317 0.683 0.003
O 0.683 0.317 0.003
O 0.696 0.304 0.323
O 0.701 0.299 0.672
O 0.799 0.799 0.172
O 0.804 0.804 0.823
O 0.817 0.817 0.503

Output
As for the space group: P4_2nm, No. 102. The spin magnetization comes out at 10.00 Bohr magnetons per cell. As for the crystal system: tetragonal. The value obtained for the calculated volume is 216.06 Å³/cell. The value obtained for the total energy is -9.11 eV/atom.